1.
# CdIn2Hg

A PBEsol-optimized structure of CdIn2Hg (meta-GGA SCAN, Alexandria).

Structure (extended XYZ):
```
4
Lattice="3.333 0.000 0.000 0.000 4.505 0.000 0.000 0.000 6.263" Properties=species:S:1:pos:R:3 pbc="T T T"
Cd 0.000 0.000 0.000
In 0.000 0.000 3.079
In 1.667 2.252 4.709
Hg 1.667 2.252 1.511
```

- Crystal system: orthorhombic
- Spin magnetization: 0.00 Bohr magnetons per cell
- Space-group type: Pmm2, No. 25
- Formation energy: 0.054 eV/atom



2.
# CdIn2Hg

A PBEsol-optimized structure of CdIn2Hg (meta-GGA SCAN, Alexandria).

Structure (extended XYZ):
```
4
Lattice="3.173 -4.910 0.000 3.173 4.910 0.000 -0.881 0.000 3.075" Properties=species:S:1:pos:R:3 pbc="T T T"
Cd 0.000 0.000 0.000
In 1.146 2.455 1.538
In 1.146 -2.455 1.538
Hg 3.173 0.000 0.000
```

- Crystal system: monoclinic
- Spin magnetization: 0.00 Bohr magnetons per cell
- Space-group type: C2/m, No. 12
- Formation energy: 0.073 eV/atom



3.
# Cd2In2Hg

A PBEsol-optimized structure of Cd2In2Hg (meta-GGA SCAN, Alexandria).

Structure (extended XYZ):
```
10
Lattice="8.782 0.000 0.000 0.000 8.782 0.000 0.000 0.000 3.164" Properties=species:S:1:pos:R:3 pbc="T T T"
Cd 1.086 3.305 0.000
Cd 3.305 7.696 0.000
Cd 5.477 1.086 0.000
Cd 7.696 5.477 0.000
In 1.541 5.932 1.582
In 2.850 1.541 1.582
In 5.932 7.241 1.582
In 7.241 2.850 1.582
Hg 0.000 0.000 1.582
Hg 4.391 4.391 1.582
```

- Crystal system: tetragonal
- Spin magnetization: 0.00 Bohr magnetons per cell
- Space-group type: P4/mbm, No. 127
- Formation energy: 0.075 eV/atom



4.
# CdIn2Hg

A PBEsol-optimized structure of CdIn2Hg (meta-GGA SCAN, Alexandria).

Structure (extended XYZ):
```
4
Lattice="1.631 0.941 10.245 -1.631 0.941 10.245 0.000 -1.883 10.245" Properties=species:S:1:pos:R:3 pbc="T T T"
Cd 0.000 0.000 0.000
In 0.000 0.000 7.691
In 0.000 0.000 15.196
Hg 0.000 0.000 22.894
```

- Crystal system: trigonal
- Spin magnetization: 0.00 Bohr magnetons per cell
- Space-group type: R3m, No. 160
- Formation energy: 0.052 eV/atom



5.
# Cd2InHgO

A PBEsol-optimized structure of Cd2InHgO (meta-GGA SCAN, Alexandria).

Structure (extended XYZ):
```
5
Lattice="5.559 0.000 0.000 0.000 5.559 0.000 0.000 0.000 4.093" Properties=species:S:1:pos:R:3 pbc="T T T"
Cd 0.000 2.779 0.000
Cd 2.779 0.000 0.000
In 0.000 0.000 2.047
Hg 2.779 2.779 0.000
O 2.779 2.779 2.047
```

- Crystal system: tetragonal
- Spin magnetization: 0.00 Bohr magnetons per cell
- Space-group type: P4/mmm, No. 123
- ΔE_f (raw): 0.27 eV/atom



6.
# CdIn2HgP

A PBEsol-optimized structure of CdIn2HgP (meta-GGA SCAN, Alexandria).

Structure (extended XYZ):
```
5
Lattice="5.295 0.000 0.000 0.000 5.295 0.000 0.000 0.000 4.947" Properties=species:S:1:pos:R:3 pbc="T T T"
Cd 0.000 0.000 0.000
In 0.000 2.648 2.474
In 2.648 0.000 2.474
Hg 2.648 2.648 0.000
P 2.648 2.648 2.474
```

- Crystal system: tetragonal
- Spin magnetization: 0.00 Bohr magnetons per cell
- Space-group type: P4/mmm, No. 123
- Formation energy: 0.364 eV/atom



7.
# CdHgIr

A PBEsol-optimized structure of CdHgIr (meta-GGA SCAN, Alexandria).

Structure (extended XYZ):
```
3
Lattice="2.953 0.000 0.000 -1.477 2.558 0.000 0.000 0.000 7.023" Properties=species:S:1:pos:R:3 pbc="T T T"
Cd 0.000 0.000 0.000
Hg 0.000 1.705 4.488
Ir 1.477 0.853 2.202
```

- Crystal system: trigonal
- Spin magnetization: 0.00 Bohr magnetons per cell
- Space-group type: P3m1, No. 156
- Formation energy: 0.371 eV/atom



8.
# CdHgIr2

A PBEsol-optimized structure of CdHgIr2 (meta-GGA SCAN, Alexandria).

Structure (extended XYZ):
```
4
Lattice="2.818 -4.734 0.000 2.818 4.734 0.000 -1.366 0.000 2.473" Properties=species:S:1:pos:R:3 pbc="T T T"
Cd 0.000 0.000 0.000
Hg 2.818 0.000 0.000
Ir 0.726 2.367 1.236
Ir 0.726 -2.367 1.236
```

- Crystal system: monoclinic
- Spin magnetization: 0.00 Bohr magnetons per cell
- Space-group type: C2/m, No. 12
- Formation energy: 0.430 eV/atom



9.
# Cd2HgIr

A PBEsol-optimized structure of Cd2HgIr (meta-GGA SCAN, Alexandria).

Structure (extended XYZ):
```
4
Lattice="1.484 0.857 9.706 -1.484 0.857 9.706 0.000 -1.713 9.706" Properties=species:S:1:pos:R:3 pbc="T T T"
Cd 0.000 0.000 7.059
Cd 0.000 0.000 22.059
Hg 0.000 0.000 0.000
Ir 0.000 0.000 14.559
```

- Crystal system: trigonal
- Spin magnetization: 0.00 Bohr magnetons per cell
- Space-group type: R-3m, No. 166
- Formation energy: 0.219 eV/atom



10.
# CdHgIr4

A PBEsol-optimized structure of CdHgIr4 (meta-GGA SCAN, Alexandria).

Structure (extended XYZ):
```
6
Lattice="0.000 3.688 3.688 3.688 0.000 3.688 3.688 3.688 0.000" Properties=species:S:1:pos:R:3 pbc="T T T"
Cd 0.000 0.000 0.000
Hg 1.844 1.844 1.844
Ir 4.611 2.766 2.766
Ir 2.766 4.611 2.766
Ir 2.766 2.766 4.611
Ir 4.611 4.611 4.611
```

- Crystal system: cubic
- Spin magnetization: 0.89 Bohr magnetons per cell
- Space-group type: F-43m, No. 216
- Formation energy: 0.445 eV/atom



11.
# CdHgIr2

A PBEsol-optimized structure of CdHgIr2 (meta-GGA SCAN, Alexandria).

Structure (extended XYZ):
```
4
Lattice="0.000 3.217 3.217 3.217 0.000 3.217 3.217 3.217 0.000" Properties=species:S:1:pos:R:3 pbc="T T T"
Cd 0.000 0.000 0.000
Hg 4.826 4.826 4.826
Ir 1.609 1.609 1.609
Ir 3.217 3.217 3.217
```

- Crystal system: cubic
- Spin magnetization: 1.38 Bohr magnetons per cell
- Space-group type: F-43m, No. 216
- Formation energy: 0.597 eV/atom



12.
# Cd3HgIr

A PBEsol-optimized structure of Cd3HgIr (meta-GGA SCAN, Alexandria).

Structure (extended XYZ):
```
5
Lattice="5.068 0.000 0.000 0.000 5.068 0.000 0.000 0.000 5.068" Properties=species:S:1:pos:R:3 pbc="T T T"
Cd 0.000 0.000 2.534
Cd 0.000 2.534 0.000
Cd 2.534 0.000 0.000
Hg 0.000 0.000 0.000
Ir 2.534 2.534 2.534
```

- Crystal system: cubic
- Spin magnetization: 0.01 Bohr magnetons per cell
- Space-group type: Pm-3m, No. 221
- Formation energy: 1.297 eV/atom



Number 1: ρ 9.58 g/cm3, V 94.04 Å³/f.u.. Number 2: ρ 9.40 g/cm3, V 95.82 Å³/f.u.. Number 3: ρ 8.92 g/cm3, V 122.00 Å³/f.u.. Number 4: ρ 9.55 g/cm3, V 94.36 Å³/f.u.. Number 5: ρ 7.30 g/cm3, V 126.49 Å³/f.u.. Number 6: ρ 6.87 g/cm3, V 138.71 Å³/f.u.. Number 7: ρ 15.81 g/cm3, V 53.05 Å³/f.u.. Number 8: ρ 17.55 g/cm3, V 65.98 Å³/f.u.. Number 9: ρ 13.86 g/cm3, V 74.00 Å³/f.u.. Number 10: ρ 17.90 g/cm3, V 100.34 Å³/f.u.. Number 11: ρ 17.38 g/cm3, V 66.62 Å³/f.u.. Number 12: ρ 9.32 g/cm3, V 130.14 Å³/f.u..